The following is a DFT calculation (PBEsol) of a relaxed structure of LaAg22.

abc: 10.519 10.519 10.519
angles: 60.00 60.00 60.00
Atoms (fractional coordinates):
Ag: 0.801 0.801 0.331
Ag: 0.613 0.887 0.887
La: 0.000 0.000 0.000
Ag: 0.125 0.125 0.625
Ag: 0.449 0.449 0.183
Ag: 0.919 0.449 0.449
Ag: 0.183 0.449 0.919
Ag: 0.613 0.887 0.613
Ag: 0.449 0.919 0.183
Ag: 0.363 0.637 0.637
Ag: 0.801 0.067 0.331
Ag: 0.801 0.801 0.067
Ag: 0.183 0.449 0.449
Ag: 0.125 0.625 0.625
Ag: 0.125 0.625 0.125
Ag: 0.067 0.801 0.331
Ag: 0.331 0.801 0.801
Ag: 0.363 0.363 0.637
Ag: 0.637 0.363 0.363
Ag: 0.331 0.067 0.801
Ag: 0.887 0.613 0.887
Ag: 0.183 0.919 0.449
Ag: 0.919 0.449 0.183
Ag: 0.919 0.183 0.449
Ag: 0.637 0.363 0.637
Ag: 0.625 0.125 0.625
Ag: 0.637 0.637 0.363
Ag: 0.449 0.449 0.919
Ag: 0.067 0.801 0.801
Ag: 0.449 0.183 0.919
La: 0.250 0.250 0.250
Ag: 0.449 0.919 0.449
Ag: 0.331 0.801 0.067
Ag: 0.887 0.613 0.613
Ag: 0.363 0.637 0.363
Ag: 0.067 0.331 0.801
Ag: 0.625 0.625 0.625
Ag: 0.625 0.125 0.125
Ag: 0.887 0.887 0.613
Ag: 0.801 0.067 0.801
Ag: 0.625 0.625 0.125
Ag: 0.613 0.613 0.887
Ag: 0.449 0.183 0.449
Ag: 0.125 0.125 0.125
Ag: 0.801 0.331 0.801
Ag: 0.801 0.331 0.067

Density ... 10.14 g/cm³
Calculated volume ... 411.6 Å³/f.u.
SG ... Fd-3m, No. 227
Size of the total moment ... 0.000 μB/f.u.
Formation enthalpy at 0 K ... 0.06 eV per atom
E_tot ... -153.68 eV per cell